# Pm4Bi2PtN2 | Alexandria | GGA-PBE | optimized geometry
# electronic total energy = -116.8 eV/cell
# crystal system = monoclinic
# uncorrected formation energy = -994 meV/atom
data_Pm4Bi2PtN2
_chemical_formula_sum 'Pm8 Bi4 Pt2 N4'
_cell_length_a 15.254
_cell_length_b 4.218
_cell_length_c 8.073
_cell_angle_alpha 90.00
_cell_angle_beta 109.95
_cell_angle_gamma 90.00
_space_group_name_H-M_alt 'C 1 2/m 1'
_space_group_IT_number 12
_space_group_name_Hall '-C 2y'
loop_
_atom_site_label
_atom_site_type_symbol
_atom_site_fract_x
_atom_site_fract_y
_atom_site_fract_z
Pm1 Pm 0.033 0.000 0.284
Pm2 Pm 0.212 0.500 0.638
Bi1 Bi 0.110 0.500 0.030
Pt1 Pt 0.000 0.500 0.500
N1 N 0.175 0.000 0.491

---

# La6Er8Th | Alexandria | GGA-PBE | optimized geometry
# electronic total energy = -215.3 eV/cell
# formation energy = 0.1154 eV/atom
# crystal system = trigonal
data_La6Er8Th
_chemical_formula_sum 'La18 Er24 Th3'
_cell_length_a 9.0713
_cell_length_b 9.0713
_cell_length_c 21.2002
_cell_angle_alpha 90.00
_cell_angle_beta 90.00
_cell_angle_gamma 120.00
_space_group_name_H-M_alt 'R -3'
_space_group_IT_number 148
_space_group_name_Hall '-R 3'
loop_
_atom_site_label
_atom_site_type_symbol
_atom_site_fract_x
_atom_site_fract_y
_atom_site_fract_z
La1 La 0.0510 0.2483 0.2132
Er1 Er 0.0000 0.0000 0.0766
Er2 Er 0.0807 0.5768 0.3037
Th1 Th 0.0000 0.0000 0.5000

---

# BeAgAu2 | Alexandria | GGA-PBE | optimized geometry
# electronic total energy = -27.2 eV/cell
# formation energy = -0.1142 eV/atom
# crystal system = orthorhombic
data_BeAgAu2
_chemical_formula_sum 'Be2 Ag2 Au4'
_cell_length_a 4.110
_cell_length_b 4.125
_cell_length_c 7.324
_cell_angle_alpha 90.00
_cell_angle_beta 90.00
_cell_angle_gamma 90.00
_space_group_name_H-M_alt 'C m m m'
_space_group_IT_number 65
_space_group_name_Hall '-C 2 2'
loop_
_atom_site_label
_atom_site_type_symbol
_atom_site_fract_x
_atom_site_fract_y
_atom_site_fract_z
Be1 Be 0.000 0.000 0.000
Ag1 Ag 0.000 0.000 0.500
Au1 Au 0.000 0.500 0.201

---

# CsAlTl2Br6 | Alexandria | GGA-PBE | optimized geometry
# electronic total energy = -30.3 eV/cell
# crystal system = tetragonal
# uncorrected formation energy = -1089 meV/atom
data_CsAlTl2Br6
_chemical_formula_sum 'Cs1 Al1 Tl2 Br6'
_cell_length_a 7.851
_cell_length_b 7.851
_cell_length_c 7.307
_cell_angle_alpha 90.00
_cell_angle_beta 90.00
_cell_angle_gamma 90.00
_space_group_name_H-M_alt 'P 4 m m'
_space_group_IT_number 99
_space_group_name_Hall 'P 4 -2'
loop_
_atom_site_label
_atom_site_type_symbol
_atom_site_fract_x
_atom_site_fract_y
_atom_site_fract_z
Cs1 Cs 0.000 0.000 0.000
Al1 Al 0.500 0.500 0.137
Tl1 Tl 0.000 0.500 0.475
Br1 Br 0.000 0.000 0.533
Br2 Br 0.284 0.284 0.229
Br3 Br 0.500 0.500 0.818

---

# VCr2Rh8 | Alexandria | GGA-PBE | optimized geometry
# electronic total energy = -176.0 eV/cell
# formation energy = -0.0756 eV/atom
# crystal system = orthorhombic
data_VCr2Rh8
_chemical_formula_sum 'V2 Cr4 Rh16'
_cell_length_a 4.008
_cell_length_b 6.426
_cell_length_c 11.964
_cell_angle_alpha 90.00
_cell_angle_beta 90.00
_cell_angle_gamma 90.00
_space_group_name_H-M_alt 'I m m m'
_space_group_IT_number 71
_space_group_name_Hall '-I 2 2'
loop_
_atom_site_label
_atom_site_type_symbol
_atom_site_fract_x
_atom_site_fract_y
_atom_site_fract_z
V1 V 0.000 0.000 0.000
Cr1 Cr 0.000 0.000 0.299
Rh1 Rh 0.000 0.202 0.500
Rh2 Rh 0.000 0.288 0.151
Rh3 Rh 0.000 0.500 0.345

---

# P2OsW | Alexandria | GGA-PBE | optimized geometry
# electronic total energy = -140.6 eV/cell
# formation energy = -0.0382 eV/atom
# crystal system = cubic
# E above lowest polymorph = 0.1267 eV per atom
data_P2OsW
_chemical_formula_sum 'P8 Os4 W4'
_cell_length_a 5.964
_cell_length_b 5.964
_cell_length_c 5.964
_cell_angle_alpha 90.00
_cell_angle_beta 90.00
_cell_angle_gamma 90.00
_space_group_name_H-M_alt 'F m -3 m'
_space_group_IT_number 225
_space_group_name_Hall '-F 4 2 3'
loop_
_atom_site_label
_atom_site_type_symbol
_atom_site_fract_x
_atom_site_fract_y
_atom_site_fract_z
P1 P 0.250 0.250 0.250
Os1 Os 0.000 0.000 0.000
W1 W 0.000 0.000 0.500

---

# Pm4CdCu | Alexandria | GGA-PBE | optimized geometry
# electronic total energy = -24.8 eV/cell
# formation energy = -0.1324 eV/atom
# crystal system = tetragonal
# E above lowest polymorph = 0.0000 eV per atom
data_Pm4CdCu
_chemical_formula_sum 'Pm4 Cd1 Cu1'
_cell_length_a 3.653
_cell_length_b 3.653
_cell_length_c 12.858
_cell_angle_alpha 90.00
_cell_angle_beta 90.00
_cell_angle_gamma 90.00
_space_group_name_H-M_alt 'P 4/m m m'
_space_group_IT_number 123
_space_group_name_Hall '-P 4 2'
loop_
_atom_site_label
_atom_site_type_symbol
_atom_site_fract_x
_atom_site_fract_y
_atom_site_fract_z
Pm1 Pm 0.000 0.000 0.133
Pm2 Pm 0.500 0.500 0.338
Cd1 Cd 0.000 0.000 0.500
Cu1 Cu 0.500 0.500 0.000

---

# AcPa2TcC4 | Alexandria | GGA-PBE | optimized geometry
# electronic total energy = -286.1 eV/cell
# formation energy = -0.1441 eV/atom
# crystal system = orthorhombic
data_AcPa2TcC4
_chemical_formula_sum 'Ac4 Pa8 Tc4 C16'
_cell_length_a 3.668
_cell_length_b 12.209
_cell_length_c 12.290
_cell_angle_alpha 90.00
_cell_angle_beta 90.00
_cell_angle_gamma 90.00
_space_group_name_H-M_alt 'C m c m'
_space_group_IT_number 63
_space_group_name_Hall '-C 2c 2'
loop_
_atom_site_label
_atom_site_type_symbol
_atom_site_fract_x
_atom_site_fract_y
_atom_site_fract_z
Ac1 Ac 0.000 0.099 0.250
Pa1 Pa 0.000 0.368 0.045
Tc1 Tc 0.000 0.163 0.750
C1 C 0.000 0.000 0.000
C2 C 0.000 0.253 0.615
C3 C 0.000 0.410 0.250

---

# Cs2K4Rb5 | Alexandria | GGA-PBE | optimized geometry
# electronic total energy = -10.7 eV/cell
# formation energy = 0.0222 eV/atom
# crystal system = monoclinic
# E above lowest polymorph = 0.0000 eV per atom
data_Cs2K4Rb5
_chemical_formula_sum 'Cs2 K4 Rb5'
_cell_length_a 12.277
_cell_length_b 4.818
_cell_length_c 16.665
_cell_angle_alpha 90.00
_cell_angle_beta 95.16
_cell_angle_gamma 90.00
_space_group_name_H-M_alt 'P 1 2/m 1'
_space_group_IT_number 10
_space_group_name_Hall '-P 2y'
loop_
_atom_site_label
_atom_site_type_symbol
_atom_site_fract_x
_atom_site_fract_y
_atom_site_fract_z
Cs1 Cs 0.059 0.000 0.141
K1 K 0.162 0.500 0.405
K2 K 0.309 0.500 0.947
Rb1 Rb 0.194 0.000 0.662
Rb2 Rb 0.439 0.000 0.211
Rb3 Rb 0.500 0.000 0.500

---

# Sc2CoBr | Alexandria | GGA-PBE | optimized geometry
# electronic total energy = -45.7 eV/cell
# crystal system = monoclinic
# uncorrected formation energy = -351 meV/atom
# E above lowest polymorph = 0.2921 eV per atom
data_Sc2CoBr
_chemical_formula_sum 'Sc4 Co2 Br2'
_cell_length_a 10.299
_cell_length_b 3.238
_cell_length_c 4.450
_cell_angle_alpha 90.00
_cell_angle_beta 98.18
_cell_angle_gamma 90.00
_space_group_name_H-M_alt 'C 1 m 1'
_space_group_IT_number 8
_space_group_name_Hall 'C -2y'
loop_
_atom_site_label
_atom_site_type_symbol
_atom_site_fract_x
_atom_site_fract_y
_atom_site_fract_z
Sc1 Sc 0.000 0.000 0.000
Sc2 Sc 0.211 0.500 0.577
Co1 Co 0.470 0.000 0.513
Br1 Br 0.274 0.000 0.099

---

# YBe6Ir2 | Alexandria | GGA-PBE | optimized geometry
# electronic total energy = -99.6 eV/cell
# formation energy = -0.3624 eV/atom
# crystal system = orthorhombic
data_YBe6Ir2
_chemical_formula_sum 'Y2 Be12 Ir4'
_cell_length_a 3.678
_cell_length_b 6.196
_cell_length_c 9.732
_cell_angle_alpha 90.00
_cell_angle_beta 90.00
_cell_angle_gamma 90.00
_space_group_name_H-M_alt 'I m m m'
_space_group_IT_number 71
_space_group_name_Hall '-I 2 2'
loop_
_atom_site_label
_atom_site_type_symbol
_atom_site_fract_x
_atom_site_fract_y
_atom_site_fract_z
Y1 Y 0.000 0.000 0.000
Be1 Be 0.000 0.158 0.500
Be2 Be 0.000 0.207 0.287
Ir1 Ir 0.000 0.500 0.139

---

# Ru2PbCl | Alexandria | GGA-PBE | optimized geometry
# electronic total energy = -67.9 eV/cell
# crystal system = trigonal
# uncorrected formation energy = 372 meV/atom
# E above lowest polymorph = 0.2057 eV per atom
data_Ru2PbCl
_chemical_formula_sum 'Ru6 Pb3 Cl3'
_cell_length_a 3.0353
_cell_length_b 3.0353
_cell_length_c 29.5412
_cell_angle_alpha 90.00
_cell_angle_beta 90.00
_cell_angle_gamma 120.00
_space_group_name_H-M_alt 'R 3 m'
_space_group_IT_number 160
_space_group_name_Hall 'R 3 -2"'
loop_
_atom_site_label
_atom_site_type_symbol
_atom_site_fract_x
_atom_site_fract_y
_atom_site_fract_z
Ru1 Ru 0.0000 0.0000 0.0000
Ru2 Ru 0.0000 0.0000 0.2677
Pb1 Pb 0.0000 0.0000 0.7511
Cl1 Cl 0.0000 0.0000 0.5386

---

# HfTi2IrPd | Alexandria | GGA-PBE | optimized geometry
# electronic total energy = -37.8 eV/cell
# formation energy = 0.4023 eV/atom
# crystal system = tetragonal
data_HfTi2IrPd
_chemical_formula_sum 'Hf1 Ti2 Ir1 Pd1'
_cell_length_a 4.572
_cell_length_b 4.572
_cell_length_c 5.051
_cell_angle_alpha 90.00
_cell_angle_beta 90.00
_cell_angle_gamma 90.00
_space_group_name_H-M_alt 'P 4/m m m'
_space_group_IT_number 123
_space_group_name_Hall '-P 4 2'
loop_
_atom_site_label
_atom_site_type_symbol
_atom_site_fract_x
_atom_site_fract_y
_atom_site_fract_z
Hf1 Hf 0.000 0.000 0.000
Ti1 Ti 0.000 0.500 0.500
Ir1 Ir 0.500 0.500 0.500
Pd1 Pd 0.500 0.500 0.000

---

# HfPdRhPb2 | Alexandria | GGA-PBE | optimized geometry
# electronic total energy = -27.9 eV/cell
# formation energy = 0.4055 eV/atom
# crystal system = tetragonal
data_HfPdRhPb2
_chemical_formula_sum 'Hf1 Pd1 Rh1 Pb2'
_cell_length_a 5.169
_cell_length_b 5.169
_cell_length_c 4.972
_cell_angle_alpha 90.00
_cell_angle_beta 90.00
_cell_angle_gamma 90.00
_space_group_name_H-M_alt 'P 4/m m m'
_space_group_IT_number 123
_space_group_name_Hall '-P 4 2'
loop_
_atom_site_label
_atom_site_type_symbol
_atom_site_fract_x
_atom_site_fract_y
_atom_site_fract_z
Hf1 Hf 0.000 0.000 0.000
Pd1 Pd 0.500 0.500 0.000
Rh1 Rh 0.000 0.000 0.500
Pb1 Pb 0.000 0.500 0.500

---

# Ce2MgSi4Pt3 | Alexandria | GGA-PBE | optimized geometry
# electronic total energy = -63.1 eV/cell
# crystal system = tetragonal
# uncorrected formation energy = -978 meV/atom
data_Ce2MgSi4Pt3
_chemical_formula_sum 'Ce2 Mg1 Si4 Pt3'
_cell_length_a 4.218
_cell_length_b 4.218
_cell_length_c 10.269
_cell_angle_alpha 90.00
_cell_angle_beta 90.00
_cell_angle_gamma 90.00
_space_group_name_H-M_alt 'P -4 m 2'
_space_group_IT_number 115
_space_group_name_Hall 'P -4 -2'
loop_
_atom_site_label
_atom_site_type_symbol
_atom_site_fract_x
_atom_site_fract_y
_atom_site_fract_z
Ce1 Ce 0.000 0.500 0.242
Mg1 Mg 0.000 0.000 0.500
Si1 Si 0.000 0.000 0.000
Si2 Si 0.000 0.500 0.647
Si3 Si 0.500 0.500 0.000
Pt1 Pt 0.000 0.500 0.882
Pt2 Pt 0.500 0.500 0.500

---

# CdHgRu2 | Alexandria | GGA-PBE | optimized geometry
# electronic total energy = -34.7 eV/cell
# formation energy = 0.6064 eV/atom
# crystal system = orthorhombic
# E above lowest polymorph = 0.4094 eV per atom
data_CdHgRu2
_chemical_formula_sum 'Cd2 Hg2 Ru4'
_cell_length_a 3.003
_cell_length_b 4.829
_cell_length_c 9.567
_cell_angle_alpha 90.00
_cell_angle_beta 90.00
_cell_angle_gamma 90.00
_space_group_name_H-M_alt 'C m m m'
_space_group_IT_number 65
_space_group_name_Hall '-C 2 2'
loop_
_atom_site_label
_atom_site_type_symbol
_atom_site_fract_x
_atom_site_fract_y
_atom_site_fract_z
Cd1 Cd 0.000 0.000 0.000
Hg1 Hg 0.000 0.000 0.500
Ru1 Ru 0.000 0.500 0.248

---

# CsNbAs2O8 | Alexandria | GGA-PBE | optimized geometry
# electronic total energy = -242.0 eV/cell
# crystal system = trigonal
# uncorrected formation energy = -1731 meV/atom
data_CsNbAs2O8
_chemical_formula_sum 'Cs3 Nb3 As6 O24'
_cell_length_a 5.2605
_cell_length_b 5.2605
_cell_length_c 28.4355
_cell_angle_alpha 90.00
_cell_angle_beta 90.00
_cell_angle_gamma 120.00
_space_group_name_H-M_alt 'R -3'
_space_group_IT_number 148
_space_group_name_Hall '-R 3'
loop_
_atom_site_label
_atom_site_type_symbol
_atom_site_fract_x
_atom_site_fract_y
_atom_site_fract_z
Cs1 Cs 0.0000 0.0000 0.0000
Nb1 Nb 0.0000 0.0000 0.5000
As1 As 0.0000 0.0000 0.2309
O1 O 0.0000 0.0000 0.2893
O2 O 0.0027 0.3955 0.8742

---

# Ca2SnS | Alexandria | GGA-PBE | optimized geometry
# electronic total energy = -60.4 eV/cell
# crystal system = cubic
# uncorrected formation energy = -742 meV/atom
# E above lowest polymorph = 0.5620 eV per atom
data_Ca2SnS
_chemical_formula_sum 'Ca8 Sn4 S4'
_cell_length_a 7.487
_cell_length_b 7.487
_cell_length_c 7.487
_cell_angle_alpha 90.00
_cell_angle_beta 90.00
_cell_angle_gamma 90.00
_space_group_name_H-M_alt 'F m -3 m'
_space_group_IT_number 225
_space_group_name_Hall '-F 4 2 3'
loop_
_atom_site_label
_atom_site_type_symbol
_atom_site_fract_x
_atom_site_fract_y
_atom_site_fract_z
Ca1 Ca 0.250 0.250 0.250
Sn1 Sn 0.000 0.000 0.000
S1 S 0.000 0.000 0.500

---

# K2CeTmTe4 | Alexandria | GGA-PBE | optimized geometry
# electronic total energy = -36.0 eV/cell
# crystal system = monoclinic
# uncorrected formation energy = -1352 meV/atom
data_K2CeTmTe4
_chemical_formula_sum 'K2 Ce1 Tm1 Te4'
_cell_length_a 7.903
_cell_length_b 4.557
_cell_length_c 8.639
_cell_angle_alpha 90.00
_cell_angle_beta 107.70
_cell_angle_gamma 90.00
_space_group_name_H-M_alt 'P 1 2/m 1'
_space_group_IT_number 10
_space_group_name_Hall '-P 2y'
loop_
_atom_site_label
_atom_site_type_symbol
_atom_site_fract_x
_atom_site_fract_y
_atom_site_fract_z
K1 K 0.000 0.000 0.000
K2 K 0.500 0.500 0.000
Ce1 Ce 0.000 0.500 0.500
Tm1 Tm 0.500 0.000 0.500
Te1 Te 0.248 0.000 0.712
Te2 Te 0.274 0.500 0.293

---

# Tb2Nd5Y12 | Alexandria | GGA-PBE | optimized geometry
# electronic total energy = -108.6 eV/cell
# formation energy = 0.1098 eV/atom
# crystal system = triclinic
# E above lowest polymorph = 0.0000 eV per atom
data_Tb2Nd5Y12
_chemical_formula_sum 'Tb2 Nd5 Y12'
_cell_length_a 6.837
_cell_length_b 7.042
_cell_length_c 14.056
_cell_angle_alpha 89.11
_cell_angle_beta 78.74
_cell_angle_gamma 74.76
_space_group_name_H-M_alt 'P -1'
_space_group_IT_number 2
_space_group_name_Hall '-P 1'
loop_
_atom_site_label
_atom_site_type_symbol
_atom_site_fract_x
_atom_site_fract_y
_atom_site_fract_z
Tb1 Tb 0.237 0.062 0.015
Nd1 Nd 0.073 0.601 0.389
Nd2 Nd 0.234 0.566 0.008
Nd3 Nd 0.500 0.500 0.500
Y1 Y 0.060 0.118 0.807
Y2 Y 0.107 0.092 0.392
Y3 Y 0.116 0.614 0.774
Y4 Y 0.368 0.003 0.607
Y5 Y 0.436 0.261 0.198
Y6 Y 0.459 0.765 0.205

---

Going through the records in order, we get volume values of 488, 1511, 124, 450, 308, 212, 172, 550, 982, 147, 222, 236, 106, 133, 183, 139, 681, 420, 296, 640 Å³ per cell.
Going through the records in order, we get DOS(E_F) values of 4.05, 70.06, 2.73, 0.00, 24.56, 7.18, 8.23, 24.29, 9.90, 7.44, 8.52, 10.06, 5.63, 4.30, 8.08, 7.58, 0.00, 17.32, 6.13, 29.99 states/eV/cell.